{"formula": "ReSi", "functional": "PBE", "state": "relaxed", "lattice_angstrom": [[-0.876, 5.485, 3.679], [-6.547, -0.231, -1.215], [-0.873, -3.775, 5.420]], "species": ["Si", "Si", "Si", "Si", "Si", "Si", "Re", "Re", "Re", "Re", "Re", "Re"], "fractional_positions": [[0.750, 0.500, 0.000], [0.000, 0.250, 0.500], [0.000, 0.750, 0.500], [0.500, 0.000, 0.750], [0.500, 0.000, 0.250], [0.250, 0.500, 0.000], [0.000, 0.500, 0.750], [0.750, 0.000, 0.500], [0.500, 0.250, 0.000], [0.250, 0.000, 0.500], [0.000, 0.500, 0.250], [0.500, 0.750, 0.000]], "m_tot_mub_per_atom": 0.158, "density_g_cm3": 7.22, "e_form_raw_ev_per_atom": 1.19, "spacegroup": "Pm-3n"}



{"formula": "LiCa2Hg2", "functional": "PBE", "state": "relaxed", "lattice_angstrom": [[4.042, 0.000, 1.192], [1.565, 5.551, 2.141], [0.386, 0.065, 6.140]], "species": ["Ca", "Ca", "Hg", "Hg", "Li"], "fractional_positions": [[0.205, 0.295, 0.295], [0.795, 0.705, 0.705], [0.500, 0.737, 0.263], [0.500, 0.263, 0.737], [0.000, 0.000, 0.000]], "m_tot_mub_per_atom": 0.000, "formation_energy_kcal_per_mol_atoms": -10.0, "density_g_cm3": 6.02, "relative_energy_ev_per_atom": 0.0000, "spacegroup": "Immm"}



{"formula": "Ti3CoAu", "functional": "PBE", "state": "relaxed", "lattice_angstrom": [[-2.657, 3.146, -1.727], [-1.600, -2.961, -2.934], [-3.212, -1.127, 2.889]], "species": ["Au", "Ti", "Ti", "Ti", "Co"], "fractional_positions": [[0.500, 0.500, 0.500], [0.500, 0.000, 0.000], [0.000, 0.000, 0.500], [0.000, 0.500, 0.000], [0.000, 0.000, 0.000]], "m_tot_mub_per_atom": 0.000, "formation_energy_kcal_per_mol_atoms": 2.7, "density_g_cm3": 7.45, "relative_energy_ev_per_atom": 0.4237, "spacegroup": "Pm-3m"}



{"formula": "Th2PaSe4", "functional": "PBE", "state": "relaxed", "lattice_angstrom": [[3.973, 0.000, 0.000], [-1.986, 6.888, 0.000], [0.000, 0.000, 14.128]], "species": ["Se", "Se", "Se", "Se", "Se", "Se", "Se", "Se", "Pa", "Pa", "Th", "Th", "Th", "Th"], "fractional_positions": [[0.500, 0.000, 0.000], [0.217, 0.434, 0.864], [0.783, 0.566, 0.364], [0.500, 0.000, 0.500], [0.040, 0.080, 0.250], [0.217, 0.434, 0.636], [0.960, 0.920, 0.750], [0.783, 0.566, 0.136], [0.384, 0.767, 0.250], [0.616, 0.233, 0.750], [0.854, 0.709, 0.937], [0.854, 0.709, 0.563], [0.146, 0.291, 0.063], [0.146, 0.291, 0.437]], "m_tot_mub_per_atom": 0.147, "density_g_cm3": 8.68, "e_form_raw_ev_per_atom": -1.40, "spacegroup": "Cmcm"}



{"formula": "Tb5Os2Pt", "functional": "PBE", "state": "relaxed", "lattice_angstrom": [[-1.048, 5.720, -4.708], [-6.241, -3.243, -2.552], [-0.074, 2.087, 8.497]], "species": ["Os", "Os", "Os", "Os", "Tb", "Tb", "Tb", "Tb", "Tb", "Tb", "Tb", "Tb", "Tb", "Tb", "Pt", "Pt"], "fractional_positions": [[0.620, 0.120, 0.000], [0.880, 0.620, 0.000], [0.120, 0.380, 0.000], [0.380, 0.880, 0.000], [0.037, 0.537, 0.720], [0.184, 0.037, 0.720], [0.963, 0.463, 0.280], [0.816, 0.963, 0.280], [0.500, 0.500, 0.000], [0.316, 0.816, 0.280], [0.684, 0.184, 0.720], [0.537, 0.684, 0.720], [0.000, 0.000, 0.000], [0.463, 0.316, 0.280], [0.250, 0.250, 0.500], [0.750, 0.750, 0.500]], "m_tot_mub_per_atom": 0.000, "formation_energy_kcal_per_mol_atoms": -11.2, "density_g_cm3": 11.66, "spacegroup": "I4/mcm"}



{"formula": "MgCdAu2", "functional": "PBE", "state": "relaxed", "lattice_angstrom": [[-1.080, 0.039, -3.666], [2.568, -0.646, -2.755], [-0.856, -6.967, -1.815]], "species": ["Mg", "Au", "Au", "Cd"], "fractional_positions": [[0.667, 0.667, 0.999], [0.254, 0.254, 0.238], [0.079, 0.079, 0.762], [0.500, 0.500, 0.501]], "m_tot_mub_per_atom": 0.000, "formation_energy_kcal_per_mol_atoms": -5.0, "density_g_cm3": 10.09, "spacegroup": "R3m"}



{"formula": "Mg15Cd", "functional": "PBE", "state": "relaxed", "lattice_angstrom": [[-6.287, 0.217, 0.748], [3.341, -4.703, 2.618], [1.230, 5.709, 8.684]], "species": ["Mg", "Mg", "Mg", "Mg", "Mg", "Mg", "Mg", "Mg", "Mg", "Mg", "Mg", "Mg", "Mg", "Mg", "Mg", "Cd"], "fractional_positions": [[0.000, 0.500, 0.751], [0.166, 0.834, 0.000], [0.666, 0.833, 0.500], [0.000, 0.000, 0.252], [0.167, 0.334, 0.500], [0.166, 0.331, 0.000], [0.500, 0.000, 0.249], [0.500, 0.000, 0.751], [0.500, 0.500, 0.249], [0.667, 0.333, 0.500], [0.000, 0.000, 0.748], [0.500, 0.500, 0.751], [0.167, 0.833, 0.500], [0.669, 0.834, 0.000], [0.000, 0.500, 0.249], [0.667, 0.333, 0.000]], "m_tot_mub_per_atom": 0.000, "formation_energy_kcal_per_mol_atoms": -0.4, "density_g_cm3": 2.18, "spacegroup": "P-6m2"}



{"formula": "Ce3Nd4SmS8", "functional": "PBE", "state": "relaxed", "lattice_angstrom": [[8.095, 0.000, 0.000], [0.000, 8.086, -0.008], [-4.048, -4.041, 5.725]], "species": ["Ce", "Ce", "Ce", "S", "S", "S", "S", "S", "S", "S", "S", "Nd", "Nd", "Nd", "Nd", "Sm"], "fractional_positions": [[0.000, 0.500, 0.500], [0.500, 0.500, 0.000], [0.500, 0.500, 0.500], [0.251, 0.254, 0.003], [0.749, 0.747, 0.498], [0.752, 0.254, 0.003], [0.752, 0.254, 0.504], [0.749, 0.746, 0.997], [0.248, 0.746, 0.496], [0.251, 0.253, 0.502], [0.248, 0.746, 0.997], [0.500, 0.000, 0.000], [0.500, 0.000, 0.500], [0.000, 0.000, 0.500], [0.000, 0.000, 0.000], [0.000, 0.500, 0.000]], "m_tot_mub_per_atom": 0.134, "density_g_cm3": 6.23, "e_form_raw_ev_per_atom": -2.04, "spacegroup": "R-3m"}



no.,volume (Å³/atom)
1,24.64
2,26.95
3,17.80
4,27.61
5,24.39
6,21.84
7,22.74
8,23.40